The following is a PBE calculation of Cr2NiRhC after structural relaxation, from Alexandria via LeMat-Bulk.

```
data_Cr2NiRhC
_chemical_formula_sum 'Cr2 Ni1 Rh1 C1'
_cell_length_a 3.876
_cell_length_b 3.876
_cell_length_c 3.766
_cell_angle_alpha 90.00
_cell_angle_beta 90.00
_cell_angle_gamma 90.00
_symmetry_space_group_name_H-M 'P 4/m m m'
_symmetry_Int_Tables_number 123
_symmetry_space_group_name_Hall '-P 4 2'
loop_
_atom_site_label
_atom_site_type_symbol
_atom_site_fract_x
_atom_site_fract_y
_atom_site_fract_z
Cr1 Cr 0.000 0.500 0.000
Ni1 Ni 0.000 0.000 0.500
Rh1 Rh 0.500 0.500 0.500
C1 C 0.000 0.000 0.000
```

Computed properties:
ΔH_f (0 K) = 117 meV per atom
mass density = 8148 kg/m³

The following is a PBE calculation of KMnRe after structural relaxation, from Alexandria via LeMat-Bulk.

```
data_KMnRe
_chemical_formula_sum 'K4 Mn4 Re4'
_cell_length_a 6.875
_cell_length_b 6.875
_cell_length_c 6.875
_cell_angle_alpha 90.00
_cell_angle_beta 90.00
_cell_angle_gamma 90.00
_symmetry_space_group_name_H-M 'F -4 3 m'
_symmetry_Int_Tables_number 216
_symmetry_space_group_name_Hall 'F -4 2 3'
loop_
_atom_site_label
_atom_site_type_symbol
_atom_site_fract_x
_atom_site_fract_y
_atom_site_fract_z
K1 K 0.000 0.000 0.000
Mn1 Mn 0.250 0.250 0.750
Re1 Re 0.250 0.250 0.250
```

Computed properties:
energy above the lowest structure with this stoichiometry = 1.923 eV/atom
ΔH_f (0 K) = 2835 meV per atom
mass density = 5728 kg/m³

The following is a PBE calculation of Dy6Er4Tl after structural relaxation, from Alexandria via LeMat-Bulk.

```
data_Dy6Er4Tl
_chemical_formula_sum 'Dy6 Er4 Tl1'
_cell_length_a 10.8449
_cell_length_b 10.8449
_cell_length_c 3.4387
_cell_angle_alpha 90.00
_cell_angle_beta 90.00
_cell_angle_gamma 120.00
_symmetry_space_group_name_H-M 'P -6 m 2'
_symmetry_Int_Tables_number 187
_symmetry_space_group_name_Hall 'P -6 2'
loop_
_atom_site_label
_atom_site_type_symbol
_atom_site_fract_x
_atom_site_fract_y
_atom_site_fract_z
Dy1 Dy 0.1848 0.3695 0.0000
Dy2 Dy 0.5193 0.0386 0.5000
Er1 Er 0.3045 0.1522 0.0000
Er2 Er 0.3333 0.6667 0.5000
Tl1 Tl 0.0000 0.0000 0.5000
```

Computed properties:
ΔH_f (0 K) = 120 meV per atom
mass density = 8763 kg/m³

The following is a PBE calculation of BeTlHg after structural relaxation, from Alexandria via LeMat-Bulk.

```
data_BeTlHg
_chemical_formula_sum 'Be2 Tl2 Hg2'
_cell_length_a 3.403
_cell_length_b 3.523
_cell_length_c 11.922
_cell_angle_alpha 90.00
_cell_angle_beta 90.00
_cell_angle_gamma 90.00
_symmetry_space_group_name_H-M 'I m m 2'
_symmetry_Int_Tables_number 44
loop_
_symmetry_equiv_pos_as_xyz
'x,y,z'
'-x,-y,z'
'-x,y,z'
'x,-y,z'
'x+1/2,y+1/2,z+1/2'
'-x+1/2,-y+1/2,z+1/2'
'-x+1/2,y+1/2,z+1/2'
'x+1/2,-y+1/2,z+1/2'
loop_
_atom_site_label
_atom_site_type_symbol
_atom_site_fract_x
_atom_site_fract_y
_atom_site_fract_z
Be1 Be 0.000 0.000 0.000
Tl1 Tl 0.000 0.000 0.762
Hg1 Hg 0.000 0.000 0.497
```

Computed properties:
energy above the lowest structure with this stoichiometry = 0.033 eV/atom
ΔH_f (0 K) = 452 meV per atom
mass density = 9620 kg/m³

For reference, total moment by record: 2.959 1.461 0.000 0.000 μB per formula unit.